Entry 1:
This record from Alexandria describes crystalline BePbBr2Cl at its relaxed geometry. The functional is GGA-PBE.

a = 5.298 Å, b = 5.298 Å, c = 5.401 Å
α = 90.00°, β = 90.00°, γ = 90.00°
Fractional coordinates of all 5 atoms:
1 Be 0.000 0.000 0.000
2 Pb 0.500 0.500 0.000
3 Br 0.000 0.500 0.500
4 Br 0.500 0.000 0.500
5 Cl 0.500 0.500 0.500

Computed properties:
uncorrected energy: -8.86 eV/cell
space group: P4/mmm (123)
E_form (uncorrected): 753 meV per atom
N(E_F): 0.640 states/eV per atom



Entry 2:
This record from Alexandria describes crystalline Dy2HoAg3Te6 at its relaxed geometry. The functional is GGA-PBE.

a = 10.186 Å, b = 10.186 Å, c = 8.450 Å
α = 103.07°, β = 103.07°, γ = 24.82°
Fractional coordinates of all 12 atoms:
1 Dy 0.174 0.174 0.307
2 Dy 0.826 0.826 0.693
3 Ho 0.500 0.500 0.000
4 Ag 0.205 0.205 0.782
5 Ag 0.500 0.500 0.500
6 Ag 0.795 0.795 0.218
7 Te 0.014 0.014 0.261
8 Te 0.336 0.336 0.434
9 Te 0.342 0.342 0.961
10 Te 0.658 0.658 0.039
11 Te 0.664 0.664 0.566
12 Te 0.986 0.986 0.739

Computed properties:
uncorrected energy: -51.26 eV/cell
space group: C2/m (12)
E_form (uncorrected): -839 meV per atom



Entry 3:
This record from Alexandria describes crystalline Nd6Er2In3 at its relaxed geometry. The functional is GGA-PBE.

a = 12.869 Å, b = 12.869 Å, c = 12.869 Å
α = 155.36°, β = 155.36°, γ = 35.12°
Fractional coordinates of all 11 atoms:
1 Nd 0.098 0.598 0.500
2 Nd 0.198 0.198 0.000
3 Nd 0.402 0.902 0.500
4 Nd 0.598 0.098 0.500
5 Nd 0.802 0.802 0.000
6 Nd 0.902 0.402 0.500
7 Er 0.058 0.058 0.000
8 Er 0.942 0.942 0.000
9 In 0.327 0.327 0.000
10 In 0.500 0.500 0.000
11 In 0.673 0.673 0.000

Computed properties:
uncorrected energy: -43.83 eV/cell
space group: I4/mmm (139)
N(E_F): 0.702 states/eV per atom
E_form: 0.193 eV per atom



Entry 4:
This record from Alexandria describes crystalline PrCd2Hg at its relaxed geometry. The functional is GGA-PBE.

a = 5.192 Å, b = 5.192 Å, c = 5.210 Å
α = 119.85°, β = 119.85°, γ = 60.24°
Fractional coordinates of all 4 atoms:
1 Pr 0.000 0.000 0.000
2 Cd 0.250 0.250 0.749
3 Cd 0.500 0.500 0.500
4 Hg 0.750 0.750 0.251

Computed properties:
uncorrected energy: -8.33 eV/cell
space group: Cm (8)
N(E_F): 0.471 states/eV per atom
E_form: -0.355 eV per atom



Entry 5:
This record from Alexandria describes crystalline BaAgSe2O6 at its relaxed geometry. The functional is GGA-PBE.

a = 7.276 Å, b = 7.276 Å, c = 6.720 Å
α = 101.78°, β = 101.78°, γ = 99.27°
Fractional coordinates of all 20 atoms:
1 Ba 0.173 0.827 0.750
2 Ba 0.827 0.173 0.250
3 Ag 0.407 0.593 0.250
4 Ag 0.593 0.407 0.750
5 Se 0.070 0.333 0.835
6 Se 0.333 0.070 0.335
7 Se 0.667 0.930 0.665
8 Se 0.930 0.667 0.165
9 O 0.074 0.542 0.302
10 O 0.106 0.169 0.637
11 O 0.169 0.106 0.137
12 O 0.295 0.501 0.915
13 O 0.458 0.926 0.198
14 O 0.499 0.705 0.585
15 O 0.501 0.295 0.415
16 O 0.542 0.074 0.802
17 O 0.705 0.499 0.085
18 O 0.831 0.894 0.863
19 O 0.894 0.831 0.363
20 O 0.926 0.458 0.698

Computed properties:
uncorrected energy: -105.94 eV/cell
space group: C2/c (15)
E_form (uncorrected): -1148 meV per atom
N(E_F): 0.380 states/eV per atom



Entry 6:
This record from Alexandria describes crystalline Re2SiPt at its relaxed geometry. The functional is GGA-PBE.

a = 4.680 Å, b = 5.393 Å, c = 5.469 Å
α = 61.53°, β = 88.41°, γ = 77.42°
Fractional coordinates of all 8 atoms:
1 Re 0.000 0.000 0.000
2 Re 0.065 0.531 0.903
3 Re 0.492 0.101 0.212
4 Re 0.563 0.640 0.134
5 Si 0.018 0.568 0.432
6 Si 0.537 0.650 0.672
7 Pt 0.461 0.205 0.673
8 Pt 0.981 0.100 0.452

Computed properties:
uncorrected energy: -73.70 eV/cell
space group: P1 (1)
E_form (uncorrected): -123 meV per atom
N(E_F): 0.429 states/eV per atom



Entry 7:
This record from Alexandria describes crystalline CaAcBi2 at its relaxed geometry. The functional is GGA-PBE.

a = 5.635 Å, b = 5.635 Å, c = 4.347 Å
α = 90.00°, β = 90.00°, γ = 90.00°
Fractional coordinates of all 4 atoms:
1 Ca 0.000 0.000 0.000
2 Ac 0.500 0.500 0.000
3 Bi 0.000 0.500 0.500
4 Bi 0.500 0.000 0.500

Computed properties:
uncorrected energy: -16.82 eV/cell
space group: P4/mmm (123)
N(E_F): 0.578 states/eV per atom
E_form: -0.737 eV per atom



Entry 8:
This record from Alexandria describes crystalline Sr3CaAg at its relaxed geometry. The functional is GGA-PBE.

a = 6.795 Å, b = 6.795 Å, c = 6.795 Å
α = 90.00°, β = 90.00°, γ = 90.00°
Fractional coordinates of all 5 atoms:
1 Sr 0.000 0.000 0.500
2 Sr 0.000 0.500 0.000
3 Sr 0.500 0.000 0.000
4 Ca 0.000 0.000 0.000
5 Ag 0.500 0.500 0.500

Computed properties:
uncorrected energy: -5.88 eV/cell
space group: Pm-3m (221)
N(E_F): 1.803 states/eV per atom
E_form: 0.804 eV per atom



Entry 9:
This record from Alexandria describes crystalline MgPaO3 at its relaxed geometry. The functional is GGA-PBE.

a = 7.654 Å, b = 3.591 Å, c = 5.125 Å
α = 90.00°, β = 90.00°, γ = 90.00°
Fractional coordinates of all 10 atoms:
1 Mg 0.250 0.000 0.023
2 Mg 0.750 0.000 0.977
3 Pa 0.000 0.500 0.500
4 Pa 0.500 0.500 0.500
5 O 0.061 0.000 0.743
6 O 0.250 0.500 0.231
7 O 0.439 0.000 0.743
8 O 0.561 0.000 0.257
9 O 0.750 0.500 0.769
10 O 0.939 0.000 0.257

Computed properties:
uncorrected energy: -82.19 eV/cell
space group: Pmma (51)
E_form (uncorrected): -3026 meV per atom
N(E_F): 0.061 states/eV per atom



Entry 10:
This record from Alexandria describes crystalline TbTmNi2 at its relaxed geometry. The functional is GGA-PBE.

a = 4.784 Å, b = 4.784 Å, c = 3.307 Å
α = 90.00°, β = 90.00°, γ = 90.00°
Fractional coordinates of all 4 atoms:
1 Tb 0.000 0.000 0.000
2 Tm 0.500 0.500 0.000
3 Ni 0.000 0.500 0.500
4 Ni 0.500 0.000 0.500

Computed properties:
uncorrected energy: -22.30 eV/cell
space group: P4/mmm (123)
N(E_F): 0.667 states/eV per atom
E_form: -0.410 eV per atom



Entry 11:
This record from Alexandria describes crystalline ScH3Pd5 at its relaxed geometry. The functional is GGA-PBE.

a = 5.798 Å, b = 5.798 Å, c = 7.540 Å
α = 101.66°, β = 101.66°, γ = 58.90°
Fractional coordinates of all 18 atoms:
1 Sc 0.000 0.000 0.000
2 Sc 0.703 0.703 0.343
3 H 0.181 0.181 0.881
4 H 0.232 0.232 0.563
5 H 0.449 0.449 0.777
6 H 0.517 0.517 0.456
7 H 0.783 0.783 0.804
8 H 0.856 0.856 0.179
9 Pd 0.083 0.083 0.656
10 Pd 0.085 0.599 0.669
11 Pd 0.199 0.713 0.330
12 Pd 0.211 0.211 0.322
13 Pd 0.491 0.491 0.023
14 Pd 0.500 0.988 0.014
15 Pd 0.598 0.598 0.687
16 Pd 0.599 0.085 0.669
17 Pd 0.713 0.199 0.330
18 Pd 0.988 0.500 0.014

Computed properties:
uncorrected energy: -91.74 eV/cell
space group: Cm (8)
N(E_F): 0.267 states/eV per atom



Entry 12:
This record from Alexandria describes crystalline RbScPb2 at its relaxed geometry. The functional is GGA-PBE.

a = 5.620 Å, b = 5.620 Å, c = 5.620 Å
α = 60.00°, β = 60.00°, γ = 60.00°
Fractional coordinates of all 4 atoms:
1 Rb 0.000 0.000 0.000
2 Sc 0.500 0.500 0.500
3 Pb 0.250 0.250 0.250
4 Pb 0.750 0.750 0.750

Computed properties:
uncorrected energy: -14.36 eV/cell
space group: Fm-3m (225)
N(E_F): 0.781 states/eV per atom
E_form: 0.088 eV per atom